# NiMoPO2 PBE+U optimized geometry
# Total energy (eV per atom): -5.38
# Total magnetization (Bohr magnetons per cell): 1.020
# Space group: P4/mmm, No. 123
# Crystal system: tetragonal
data_NiMoPO2
_cell_length_a 3.7894
_cell_length_b 3.7894
_cell_length_c 5.1824
_cell_angle_alpha 90.00
_cell_angle_beta 90.00
_cell_angle_gamma 90.00
_space_group_name_H-M_alt 'P 1'
_space_group_IT_number 1
loop_
_space_group_symop_operation_xyz
'x,y,z'
loop_
_atom_site_label
_atom_site_type_symbol
_atom_site_fract_x
_atom_site_fract_y
_atom_site_fract_z
_atom_site_occupancy
Ni1 Ni 0.0000 0.0000 0.0000 1
Mo1 Mo 0.5000 0.5000 0.5000 1
P1 P 0.5000 0.5000 0.0000 1
O1 O 0.0000 0.5000 0.5000 1
O2 O 0.5000 0.0000 0.5000 1